1.
Below is an optimized crystal structure of CoSiAs2Se, with properties calculated at the PBE level.

density: 4.940 g cm⁻³
ΔE to the lowest computed polymorph: 423 meV/atom
symmetry: P4/mmm, No. 123
E_form (uncorrected): 981 meV per atom

Lattice parameters (Å, degrees): 4.7189 4.7189 4.7670 90.00 90.00 90.00
With the nearest neighbours (Å) after each atom.
Fractional positions:
Co: 0.0000 0.0000 0.0000  4 Se 3.34, 8 As 3.35
Si: 0.5000 0.5000 0.5000  4 As 2.36, 2 Se 2.38
As: 0.0000 0.5000 0.5000  2 Si 2.36
As: 0.5000 0.0000 0.5000  2 Si 2.36
Se: 0.5000 0.5000 0.0000  2 Si 2.38

---

2.
Below is an optimized crystal structure of TbSn2, with properties calculated at the PBE level.

density: 8.266 g cm⁻³
symmetry: P2_1/m, No. 11
DFT formation energy: -607 meV per atom

Lattice parameters (Å, degrees): 4.4450 4.3576 8.5143 90.00 105.08 90.00
With the nearest neighbours (Å) after each atom.
Fractional positions:
Tb: 0.0993 0.2500 0.1980  10 Sn 3.17-3.47
Tb: 0.9007 0.7500 0.8020  10 Sn 3.17-3.47
Sn: 0.2520 0.7500 0.5031  4 Sn 3.11-3.12, 4 Tb 3.31-3.32
Sn: 0.4365 0.2500 0.8738  2 Sn 3.01, 4 Tb 3.17
Sn: 0.5635 0.7500 0.1262  2 Sn 3.01, 4 Tb 3.17
Sn: 0.7480 0.2500 0.4969  4 Sn 3.11-3.12, 4 Tb 3.31-3.32

---

3.
Below is an optimized crystal structure of LaSe2Cl, with properties calculated at the PBE level.

density: 5.469 g cm⁻³
ΔE to the lowest computed polymorph: 159 meV/atom
symmetry: Cmmm, No. 65
E_form (uncorrected): -1365 meV per atom

Lattice parameters (Å, degrees): 4.7047 4.7047 4.8236 90.00 90.00 109.11
With the nearest neighbours (Å) after each atom.
Fractional positions:
La: 0.0000 0.0000 0.0000  2 Cl 2.73
Se: 0.0000 0.5000 0.5000  2 Se 2.73
Se: 0.5000 0.0000 0.5000  2 Se 2.73
Cl: 0.5000 0.5000 0.0000  2 La 2.73

---

4.
Below is an optimized crystal structure of Rb3Cd2NiCl9, with properties calculated at the PBE level.

density: 3.494 g cm⁻³
symmetry: P-3m1, No. 164
E_form (uncorrected): -1316 meV per atom

Lattice parameters (Å, degrees): 7.2733 7.2733 8.9118 90.00 90.00 120.00
With the nearest neighbours (Å) after each atom.
Fractional positions:
Rb: 0.0000 0.0000 0.0000  12 Cl 3.64-3.65
Rb: 0.3333 0.6667 0.6653  12 Cl 3.62-3.65
Rb: 0.6667 0.3333 0.3347  12 Cl 3.62-3.65
Cd: 0.3333 0.6667 0.1787  6 Cl 2.64-2.65
Cd: 0.6667 0.3333 0.8213  6 Cl 2.64-2.65
Ni: 0.0000 0.0000 0.5000  6 Cl 2.43
Cl: 0.0000 0.5000 0.0000  2 Cd 2.64
Cl: 0.1581 0.3162 0.3432  1 Ni 2.43, 1 Cd 2.65
Cl: 0.1581 0.8419 0.3432  1 Ni 2.43, 1 Cd 2.65
Cl: 0.3162 0.1581 0.6568  1 Ni 2.43, 1 Cd 2.65
Cl: 0.5000 0.0000 0.0000  2 Cd 2.64
Cl: 0.5000 0.5000 0.0000  2 Cd 2.64
Cl: 0.6838 0.8419 0.3432  1 Ni 2.43, 1 Cd 2.65
Cl: 0.8419 0.1581 0.6568  1 Ni 2.43, 1 Cd 2.65
Cl: 0.8419 0.6838 0.6568  1 Ni 2.43, 1 Cd 2.65

---

5.
Below is an optimized crystal structure of TlTe2Br4, with properties calculated at the PBE level.

density: 4.347 g cm⁻³
ΔE to the lowest computed polymorph: 0 meV/atom
symmetry: C2, No. 5
E_form (uncorrected): -366 meV per atom

Lattice parameters (Å, degrees): 9.1815 9.1815 10.7188 125.71 125.71 68.68
With the nearest neighbours (Å) after each atom.
Fractional positions:
Tl: 0.0000 0.0000 0.0000  8 Br 3.45-3.70
Tl: 0.7513 0.2487 0.5000  8 Br 3.45-3.70
Te: 0.2213 0.4704 0.5963  2 Br 2.72, 2 Te 2.97
Te: 0.3758 0.1250 0.5965  2 Br 2.72, 2 Te 2.97
Te: 0.5296 0.7787 0.4037  2 Br 2.72, 2 Te 2.97
Te: 0.8750 0.6242 0.4035  2 Br 2.72, 2 Te 2.97
Br: 0.0451 0.9390 0.6739  1 Te 2.72
Br: 0.0610 0.9549 0.3261  1 Te 2.72
Br: 0.1209 0.5150 0.8109  1 Te 2.72
Br: 0.2656 0.3704 0.3259  1 Te 2.72
Br: 0.4850 0.8791 0.1891  1 Te 2.72
Br: 0.6296 0.7344 0.6741  1 Te 2.72
Br: 0.6908 0.2947 0.8109  1 Te 2.72
Br: 0.7053 0.3092 0.1891  1 Te 2.72

---

6.
Below is an optimized crystal structure of Ac4SmRh3, with properties calculated at the PBE level.

density: 8.532 g cm⁻³
symmetry: Cc, No. 9
DFT formation energy: -588 meV per atom

Lattice parameters (Å, degrees): 8.0090 8.0090 10.9944 110.74 110.74 55.42
With the nearest neighbours (Å) after each atom.
Fractional positions:
Ac: 0.0308 0.3621 0.4207  4 Rh 2.99-3.03
Ac: 0.1630 0.8370 0.5000  4 Rh 2.97-3.05
Ac: 0.3621 0.0308 0.9207  4 Rh 2.99-3.03
Ac: 0.4272 0.7652 0.2063  4 Rh 3.01-3.06
Ac: 0.6214 0.9678 0.6062  3 Rh 2.93-2.98
Ac: 0.7652 0.4272 0.7063  4 Rh 3.01-3.06
Ac: 0.8370 0.1630 0.0000  4 Rh 2.97-3.05
Ac: 0.9678 0.6214 0.1062  3 Rh 2.93-2.98
Sm: 0.2284 0.5765 0.8079  3 Rh 2.85-2.88
Sm: 0.5765 0.2284 0.3079  3 Rh 2.85-2.88
Rh: 0.0010 0.9817 0.7455  1 Sm 2.88, 5 Ac 2.93-3.06
Rh: 0.2073 0.2067 0.1776  1 Sm 2.87, 5 Ac 2.98-3.05
Rh: 0.2067 0.2073 0.6776  1 Sm 2.87, 5 Ac 2.98-3.05
Rh: 0.5928 0.5933 0.4546  1 Sm 2.85, 5 Ac 2.97-3.02
Rh: 0.5933 0.5928 0.9546  1 Sm 2.85, 5 Ac 2.97-3.02
Rh: 0.9817 0.0010 0.2455  1 Sm 2.88, 5 Ac 2.93-3.06